Entry 1:
Here is La3Pm2Pd2 after structural relaxation from Alexandria. Energies are from PBE.

The structure in CIF format:
```
data_La3Pm2Pd2
_cell_length_a 3.953
_cell_length_b 6.599
_cell_length_c 9.031
_cell_angle_alpha 101.32
_cell_angle_beta 102.65
_cell_angle_gamma 107.42
_space_group_name_H-M_alt 'P 1'
_space_group_IT_number 1
loop_
_space_group_symop_operation_xyz
'x,y,z'
loop_
_atom_site_label
_atom_site_type_symbol
_atom_site_fract_x
_atom_site_fract_y
_atom_site_fract_z
La1 La 0.500 0.000 0.000
La2 La 0.173 0.789 0.558
La3 La 0.827 0.211 0.442
Pd1 Pd 0.061 0.899 0.223
Pd2 Pd 0.939 0.101 0.777
Pm1 Pm 0.350 0.512 0.188
Pm2 Pm 0.650 0.488 0.812
```

Results
Spin magnetization, μB per cell: 0.00
ΔE_f, meV per atom: -456

---

Entry 2:
Here is LaPmPd3 after structural relaxation from Alexandria. Energies are from PBE.

The structure in CIF format:
```
data_LaPmPd3
_cell_length_a 7.037
_cell_length_b 8.032
_cell_length_c 8.069
_cell_angle_alpha 90.00
_cell_angle_beta 90.00
_cell_angle_gamma 90.00
_space_group_name_H-M_alt 'P 1'
_space_group_IT_number 1
loop_
_space_group_symop_operation_xyz
'x,y,z'
loop_
_atom_site_label
_atom_site_type_symbol
_atom_site_fract_x
_atom_site_fract_y
_atom_site_fract_z
Pd1 Pd 0.000 0.000 0.256
Pd2 Pd 0.383 0.856 0.748
Pd3 Pd 0.617 0.144 0.252
Pd4 Pd 0.883 0.644 0.248
Pd5 Pd 0.500 0.500 0.756
Pd6 Pd 0.617 0.144 0.748
Pd7 Pd 0.117 0.356 0.248
Pd8 Pd 0.383 0.856 0.252
Pd9 Pd 0.500 0.500 0.244
Pd10 Pd 0.117 0.356 0.752
Pd11 Pd 0.000 0.000 0.744
Pd12 Pd 0.883 0.644 0.752
Pm1 Pm 0.717 0.865 0.500
Pm2 Pm 0.217 0.635 0.000
Pm3 Pm 0.283 0.135 0.500
Pm4 Pm 0.783 0.365 0.000
La1 La 0.280 0.136 0.000
La2 La 0.220 0.636 0.500
La3 La 0.780 0.364 0.500
La4 La 0.720 0.864 0.000
```

Results
Spin magnetization, μB per cell: 0.00
ΔE_f, meV per atom: -801

---

Entry 3:
Here is LaPm4Pd5 after structural relaxation from Alexandria. Energies are from PBE.

The structure in CIF format:
```
data_LaPm4Pd5
_cell_length_a 3.580
_cell_length_b 3.580
_cell_length_c 18.417
_cell_angle_alpha 90.00
_cell_angle_beta 90.00
_cell_angle_gamma 90.00
_space_group_name_H-M_alt 'P 1'
_space_group_IT_number 1
loop_
_space_group_symop_operation_xyz
'x,y,z'
loop_
_atom_site_label
_atom_site_type_symbol
_atom_site_fract_x
_atom_site_fract_y
_atom_site_fract_z
Pm1 Pm 0.000 0.000 0.203
Pm2 Pm 0.000 0.000 0.401
Pm3 Pm 0.000 0.000 0.599
Pm4 Pm 0.000 0.000 0.797
Pd1 Pd 0.500 0.500 0.500
Pd2 Pd 0.500 0.500 0.698
Pd3 Pd 0.500 0.500 0.106
Pd4 Pd 0.500 0.500 0.302
Pd5 Pd 0.500 0.500 0.894
La1 La 0.000 0.000 0.000
```

Results
Spin magnetization, μB per cell: 0.00
ΔE_f, meV per atom: -762

---

Entry 4:
Here is La2Pm2Pd3 after structural relaxation from Alexandria. Energies are from PBE.

The structure in CIF format:
```
data_La2Pm2Pd3
_cell_length_a 4.266
_cell_length_b 7.239
_cell_length_c 7.290
_cell_angle_alpha 100.13
_cell_angle_beta 90.05
_cell_angle_gamma 107.20
_space_group_name_H-M_alt 'P 1'
_space_group_IT_number 1
loop_
_space_group_symop_operation_xyz
'x,y,z'
loop_
_atom_site_label
_atom_site_type_symbol
_atom_site_fract_x
_atom_site_fract_y
_atom_site_fract_z
Pm1 Pm 0.868 0.734 0.631
Pm2 Pm 0.132 0.266 0.369
La1 La 0.376 0.752 0.124
La2 La 0.624 0.248 0.876
Pd1 Pd 0.000 0.000 0.000
Pd2 Pd 0.750 0.502 0.254
Pd3 Pd 0.250 0.498 0.746
```

Results
Spin magnetization, μB per cell: 0.00
ΔE_f, meV per atom: -601

---

Entry 5:
Here is LaPm5Pd2 after structural relaxation from Alexandria. Energies are from PBE.

The structure in CIF format:
```
data_LaPm5Pd2
_cell_length_a 3.963
_cell_length_b 6.671
_cell_length_c 19.012
_cell_angle_alpha 90.00
_cell_angle_beta 90.00
_cell_angle_gamma 107.28
_space_group_name_H-M_alt 'P 1'
_space_group_IT_number 1
loop_
_space_group_symop_operation_xyz
'x,y,z'
loop_
_atom_site_label
_atom_site_type_symbol
_atom_site_fract_x
_atom_site_fract_y
_atom_site_fract_z
Pm1 Pm 0.647 0.295 0.539
Pm2 Pm 0.353 0.705 0.039
Pm3 Pm 0.628 0.255 0.250
Pm4 Pm 0.372 0.745 0.750
Pm5 Pm 0.939 0.877 0.890
Pm6 Pm 0.061 0.123 0.110
Pm7 Pm 0.647 0.295 0.961
Pm8 Pm 0.353 0.705 0.461
Pm9 Pm 0.939 0.877 0.610
Pm10 Pm 0.061 0.123 0.390
La1 La 0.638 0.275 0.750
La2 La 0.362 0.725 0.250
Pd1 Pd 0.236 0.472 0.630
Pd2 Pd 0.764 0.528 0.130
Pd3 Pd 0.236 0.472 0.870
Pd4 Pd 0.764 0.528 0.370
```

Results
Spin magnetization, μB per cell: 0.00
ΔE_f, meV per atom: -333

---

Entry 6:
Here is LaPm3Pd2 after structural relaxation from Alexandria. Energies are from PBE.

The structure in CIF format:
```
data_LaPm3Pd2
_cell_length_a 6.988
_cell_length_b 7.377
_cell_length_c 8.038
_cell_angle_alpha 105.76
_cell_angle_beta 90.00
_cell_angle_gamma 118.27
_space_group_name_H-M_alt 'P 1'
_space_group_IT_number 1
loop_
_space_group_symop_operation_xyz
'x,y,z'
loop_
_atom_site_label
_atom_site_type_symbol
_atom_site_fract_x
_atom_site_fract_y
_atom_site_fract_z
Pd1 Pd 0.381 0.759 0.440
Pd2 Pd 0.378 0.759 0.940
Pd3 Pd 0.622 0.241 0.060
Pd4 Pd 0.619 0.241 0.560
La1 La 0.245 0.000 0.250
La2 La 0.755 0.000 0.750
Pm1 Pm 0.783 0.570 0.893
Pm2 Pm 0.749 0.000 0.250
Pm3 Pm 0.251 0.000 0.750
Pm4 Pm 0.217 0.430 0.107
Pm5 Pm 0.787 0.570 0.393
Pm6 Pm 0.213 0.430 0.607
```

Results
Spin magnetization, μB per cell: 0.02
ΔE_f, meV per atom: -494

---

Entry 7:
Here is La4PmPd2 after structural relaxation from Alexandria. Energies are from PBE.

The structure in CIF format:
```
data_La4PmPd2
_cell_length_a 6.961
_cell_length_b 8.076
_cell_length_c 8.375
_cell_angle_alpha 111.87
_cell_angle_beta 81.00
_cell_angle_gamma 87.04
_space_group_name_H-M_alt 'P 1'
_space_group_IT_number 1
loop_
_space_group_symop_operation_xyz
'x,y,z'
loop_
_atom_site_label
_atom_site_type_symbol
_atom_site_fract_x
_atom_site_fract_y
_atom_site_fract_z
Pd1 Pd 0.296 0.594 0.572
Pd2 Pd 0.759 0.818 0.016
Pd3 Pd 0.241 0.182 0.984
Pd4 Pd 0.704 0.406 0.428
La1 La 0.836 0.036 0.376
La2 La 0.654 0.801 0.672
La3 La 0.346 0.199 0.328
La4 La 0.164 0.964 0.624
La5 La 0.529 0.650 0.225
La6 La 0.471 0.350 0.775
La7 La 0.043 0.545 0.250
La8 La 0.957 0.455 0.750
Pm1 Pm 0.217 0.821 0.973
Pm2 Pm 0.783 0.179 0.027
```

Results
Spin magnetization, μB per cell: 0.00
ΔE_f, meV per atom: -417

---

Entry 8:
Here is La2Pm3Pd4 after structural relaxation from Alexandria. Energies are from PBE.

The structure in CIF format:
```
data_La2Pm3Pd4
_cell_length_a 8.287
_cell_length_b 7.731
_cell_length_c 7.771
_cell_angle_alpha 90.00
_cell_angle_beta 90.00
_cell_angle_gamma 108.40
_space_group_name_H-M_alt 'P 1'
_space_group_IT_number 1
loop_
_space_group_symop_operation_xyz
'x,y,z'
loop_
_atom_site_label
_atom_site_type_symbol
_atom_site_fract_x
_atom_site_fract_y
_atom_site_fract_z
La1 La 0.595 0.200 0.326
La2 La 0.405 0.800 0.674
La3 La 0.905 0.800 0.826
La4 La 0.095 0.200 0.174
Pm1 Pm 0.000 0.500 0.500
Pm2 Pm 0.249 0.758 0.163
Pm3 Pm 0.749 0.758 0.337
Pm4 Pm 0.251 0.242 0.663
Pm5 Pm 0.751 0.242 0.837
Pm6 Pm 0.500 0.500 0.000
Pd1 Pd 0.124 0.500 0.869
Pd2 Pd 0.376 0.500 0.369
Pd3 Pd 0.625 0.907 0.037
Pd4 Pd 0.375 0.093 0.963
Pd5 Pd 0.876 0.500 0.131
Pd6 Pd 0.125 0.907 0.463
Pd7 Pd 0.624 0.500 0.631
Pd8 Pd 0.875 0.093 0.537
```

Results
Spin magnetization, μB per cell: 0.00
ΔE_f, meV per atom: -728

---

Entry 9:
Here is LaPm2Pd2 after structural relaxation from Alexandria. Energies are from PBE.

The structure in CIF format:
```
data_LaPm2Pd2
_cell_length_a 4.012
_cell_length_b 8.098
_cell_length_c 8.098
_cell_angle_alpha 90.00
_cell_angle_beta 90.00
_cell_angle_gamma 90.00
_space_group_name_H-M_alt 'P 1'
_space_group_IT_number 1
loop_
_space_group_symop_operation_xyz
'x,y,z'
loop_
_atom_site_label
_atom_site_type_symbol
_atom_site_fract_x
_atom_site_fract_y
_atom_site_fract_z
Pd1 Pd 0.500 0.127 0.873
Pd2 Pd 0.500 0.373 0.373
Pd3 Pd 0.500 0.627 0.627
Pd4 Pd 0.500 0.873 0.127
Pm1 Pm 0.000 0.164 0.164
Pm2 Pm 0.000 0.664 0.336
Pm3 Pm 0.000 0.836 0.836
Pm4 Pm 0.000 0.336 0.664
La1 La 0.500 0.500 0.000
La2 La 0.500 0.000 0.500
```

Results
Spin magnetization, μB per cell: 0.00
ΔE_f, meV per atom: -626

---

Entry 10:
Here is La3PmPd after structural relaxation from Alexandria. Energies are from PBE.

The structure in CIF format:
```
data_La3PmPd
_cell_length_a 3.833
_cell_length_b 13.737
_cell_length_c 12.705
_cell_angle_alpha 90.00
_cell_angle_beta 90.00
_cell_angle_gamma 90.00
_space_group_name_H-M_alt 'P 1'
_space_group_IT_number 1
loop_
_space_group_symop_operation_xyz
'x,y,z'
loop_
_atom_site_label
_atom_site_type_symbol
_atom_site_fract_x
_atom_site_fract_y
_atom_site_fract_z
La1 La 0.250 0.059 0.391
La2 La 0.250 0.559 0.109
La3 La 0.750 0.058 0.113
La4 La 0.750 0.180 0.848
La5 La 0.750 0.941 0.609
La6 La 0.750 0.680 0.652
La7 La 0.250 0.820 0.152
La8 La 0.750 0.558 0.387
La9 La 0.750 0.441 0.891
La10 La 0.250 0.320 0.348
La11 La 0.250 0.942 0.887
La12 La 0.250 0.442 0.613
Pm1 Pm 0.250 0.286 0.072
Pm2 Pm 0.750 0.714 0.928
Pm3 Pm 0.250 0.786 0.428
Pm4 Pm 0.750 0.214 0.572
Pd1 Pd 0.250 0.086 0.694
Pd2 Pd 0.750 0.914 0.306
Pd3 Pd 0.250 0.586 0.806
Pd4 Pd 0.750 0.414 0.194
```

Results
Spin magnetization, μB per cell: 0.00
ΔE_f, meV per atom: -247

---

Entry 11:
Here is LaPm2Pd3 after structural relaxation from Alexandria. Energies are from PBE.

The structure in CIF format:
```
data_LaPm2Pd3
_cell_length_a 3.619
_cell_length_b 3.619
_cell_length_c 10.913
_cell_angle_alpha 90.00
_cell_angle_beta 90.00
_cell_angle_gamma 90.00
_space_group_name_H-M_alt 'P 1'
_space_group_IT_number 1
loop_
_space_group_symop_operation_xyz
'x,y,z'
loop_
_atom_site_label
_atom_site_type_symbol
_atom_site_fract_x
_atom_site_fract_y
_atom_site_fract_z
Pd1 Pd 0.000 0.000 0.000
Pd2 Pd 0.000 0.000 0.324
Pd3 Pd 0.000 0.000 0.676
Pm1 Pm 0.500 0.500 0.164
Pm2 Pm 0.500 0.500 0.836
La1 La 0.500 0.500 0.500
```

Results
Spin magnetization, μB per cell: 0.00
ΔE_f, meV per atom: -761

---

Entry 12:
Here is LaPm3Pd12 after structural relaxation from Alexandria. Energies are from PBE.

The structure in CIF format:
```
data_LaPm3Pd12
_cell_length_a 4.190
_cell_length_b 4.190
_cell_length_c 16.839
_cell_angle_alpha 90.00
_cell_angle_beta 90.00
_cell_angle_gamma 90.00
_space_group_name_H-M_alt 'P 1'
_space_group_IT_number 1
loop_
_space_group_symop_operation_xyz
'x,y,z'
loop_
_atom_site_label
_atom_site_type_symbol
_atom_site_fract_x
_atom_site_fract_y
_atom_site_fract_z
La1 La 0.000 0.000 0.000
Pd1 Pd 0.500 0.000 0.624
Pd2 Pd 0.000 0.500 0.127
Pd3 Pd 0.000 0.500 0.376
Pd4 Pd 0.500 0.500 0.251
Pd5 Pd 0.000 0.500 0.873
Pd6 Pd 0.500 0.000 0.376
Pd7 Pd 0.000 0.500 0.624
Pd8 Pd 0.500 0.500 0.749
Pd9 Pd 0.500 0.000 0.873
Pd10 Pd 0.500 0.500 0.000
Pd11 Pd 0.500 0.500 0.500
Pd12 Pd 0.500 0.000 0.127
Pm1 Pm 0.000 0.000 0.748
Pm2 Pm 0.000 0.000 0.500
Pm3 Pm 0.000 0.000 0.252
```

Results
Spin magnetization, μB per cell: 0.00
ΔE_f, meV per atom: -794